Entry 1:
# RbNa2S

A relaxed structure of RbNa2S (PBE-GGA, the Alexandria database).

Summary:
The space-group type is I-42d. The value obtained for the total energy is -9.91 eV per formula unit.

Structure (POSCAR):
```
RbNa2S
1.0
-4.369 5.294 -5.029
-1.834 -6.468 -5.217
-8.029 -1.699 -2.012
S Na Rb
2 4 2
Cartesian
-3.101 -0.587 -5.123
-6.482 -4.377 -6.176
-4.778 -2.499 -5.633
-8.800 -3.310 -6.638
-10.997 -0.705 -9.187
-3.889 0.769 -3.057
0.000 0.000 0.000
-7.750 1.504 -6.082
```

Entry 2:
# RbNa3S

A relaxed structure of RbNa3S (PBE-GGA, the Alexandria database).

Summary:
Its offset from the most stable computed form is 0.000 eV per formula unit. The space-group type is Pm-3m. The value obtained for the total energy is -11.26 eV per formula unit.

Structure (POSCAR):
```
RbNa3S
1.0
-0.408 -0.447 -5.662
5.676 0.178 -0.423
0.210 -5.674 0.433
Na S Rb
3 1 1
Cartesian
2.838 0.089 -0.212
-0.204 -0.223 -2.831
0.105 -2.837 0.216
0.000 0.000 0.000
2.739 -2.971 -2.826
```

Entry 3:
# RbNaS3

A relaxed structure of RbNaS3 (PBE-GGA, the Alexandria database).

Summary:
Its offset from the most stable computed form is 0.000 eV per formula unit. The space-group type is Pm-3m. The value obtained for the total energy is -13.97 eV per formula unit.

Structure (POSCAR):
```
RbNaS3
1.0
5.304 0.000 0.000
0.000 5.304 0.000
0.000 0.000 5.304
Na S Rb
1 3 1
Cartesian
0.000 0.000 0.000
2.652 0.000 0.000
0.000 2.652 0.000
0.000 0.000 2.652
2.652 2.652 2.652
```

Entry 4:
# RbNa3S

A relaxed structure of RbNa3S (PBE-GGA, the Alexandria database).

Summary:
Its offset from the most stable computed form is 5.122 eV per formula unit. The space-group type is Pm-3m. The value obtained for the total energy is -6.14 eV per formula unit.

Structure (POSCAR):
```
RbNa3S
1.0
6.171 0.000 0.000
0.000 6.171 0.000
0.000 0.000 6.171
Na S Rb
3 1 1
Cartesian
0.000 3.086 0.000
3.086 0.000 0.000
0.000 0.000 3.086
3.086 3.086 3.086
0.000 0.000 0.000
```

Formation energy (no corrections) for every record listed, in sequence, given in meV/atom: -543, -442, 140, 583.